[1]
Here is an optimized crystal structure of DyThGaAu from Alexandria via LeMat-Bulk. Energies are from PBE-GGA.

Calculated values
The calculation puts the theoretical density at 10.9 Mg/m³. Its space group is Amm2 (38). As for the density of states at the Fermi level: 3.51 states/eV per cell. The magnetic moment is 0.00 μB per atom. The calculation puts the formation energy from the elements at -60 kJ/mol of atoms.

Cell: 4.4637 5.9471 5.9471 Å, 39.79 90.00 90.00°
Fractional coordinates of all 4 atoms:
Dy  0.0000  0.0000  0.0000
Th  0.5000  0.7184  0.7184
Ga  0.0000  0.2835  0.2835
Au  0.5000  0.4433  0.4433

---

[2]
Here is an optimized crystal structure of DyThGa2Au2 from Alexandria via LeMat-Bulk. Energies are from PBE-GGA.

Calculated values
The calculation puts the theoretical density at 11.6 Mg/m³. Its space group is P-3m1 (164). As for the density of states at the Fermi level: 4.21 states/eV per cell. The magnetic moment is 0.00 μB per atom. The calculation puts the formation energy from the elements at -70 kJ/mol of atoms.

Cell: 4.5365 4.5365 7.4472 Å, 90.00 90.00 120.00°
Fractional coordinates of all 6 atoms:
Dy  0.0000  0.0000  0.0000
Th  0.0000  0.0000  0.5000
Ga  0.3333  0.6667  0.2460
Ga  0.6667  0.3333  0.7540
Au  0.3333  0.6667  0.7729
Au  0.6667  0.3333  0.2271

---

[3]
Here is an optimized crystal structure of DyThGaAu from Alexandria via LeMat-Bulk. Energies are from PBE-GGA.

Calculated values
The calculation puts the theoretical density at 11.1 Mg/m³. Its space group is F-43m (216). As for the density of states at the Fermi level: 3.94 states/eV per cell. The magnetic moment is 0.24 μB per atom. The calculation puts the formation energy from the elements at -53 kJ/mol of atoms.

Cell: 5.1942 5.1942 5.1942 Å, 60.00 60.00 60.00°
Fractional coordinates of all 4 atoms:
Dy  0.0000  0.0000  0.0000
Th  0.5000  0.5000  0.5000
Ga  0.2500  0.2500  0.2500
Au  0.7500  0.7500  0.7500

---

[4]
Here is an optimized crystal structure of DyTiGaAu from Alexandria via LeMat-Bulk. Energies are from PBE-GGA.

Calculated values
The calculation puts the theoretical density at 9.8 Mg/m³. Its space group is F-43m (216). As for the density of states at the Fermi level: 2.67 states/eV per cell. The magnetic moment is 0.37 μB per atom. The calculation puts the formation energy from the elements at -43 kJ/mol of atoms.

Cell: 4.8541 4.8541 4.8541 Å, 60.00 60.00 60.00°
Fractional coordinates of all 4 atoms:
Dy  0.0000  0.0000  0.0000
Ti  0.5000  0.5000  0.5000
Ga  0.7500  0.7500  0.7500
Au  0.2500  0.2500  0.2500

---

[5]
Here is an optimized crystal structure of DyTlGaAu from Alexandria via LeMat-Bulk. Energies are from PBE-GGA.

Calculated values
The calculation puts the theoretical density at 11.7 Mg/m³. Its space group is F-43m (216). As for the density of states at the Fermi level: 1.46 states/eV per cell. The magnetic moment is 0.00 μB per atom. The calculation puts the formation energy from the elements at -38 kJ/mol of atoms.

Cell: 5.0236 5.0236 5.0236 Å, 60.00 60.00 60.00°
Fractional coordinates of all 4 atoms:
Dy  0.0000  0.0000  0.0000
Tl  0.5000  0.5000  0.5000
Ga  0.7500  0.7500  0.7500
Au  0.2500  0.2500  0.2500

---

[6]
Here is an optimized crystal structure of Dy2Tm2Ga4Au from Alexandria via LeMat-Bulk. Energies are from PBE-GGA.

Calculated values
The calculation puts the theoretical density at 8.8 Mg/m³. Its space group is I4/mmm (139). As for the density of states at the Fermi level: 6.68 states/eV per cell. The magnetic moment is 0.00 μB per atom. The calculation puts the formation energy from the elements at -33 kJ/mol of atoms.

Cell: 6.6160 6.6160 6.6160 Å, 116.19 116.19 96.74°
Fractional coordinates of all 9 atoms:
Dy  0.2500  0.7500  0.5000
Dy  0.7500  0.2500  0.5000
Tm  0.1862  0.1862  0.0000
Tm  0.8138  0.8138  0.0000
Ga  0.2446  0.2446  0.4892
Ga  0.2446  0.7554  0.0000
Ga  0.7554  0.2446  0.0000
Ga  0.7554  0.7554  0.5108
Au  0.5000  0.5000  0.0000

---

Q: Look up the magnetic moment of the first one.
A: 0.00 μB per atom